Computed, not measured: Cs2AlCoO4 after structural relaxation at the PBE with a Hubbard U level of DFT.

The calculation puts the calculated total energy at -5.555 eV/atom.

The structure in CIF format:
```
data_Cs2AlCoO4
_chemical_formula_sum 'Cs16 Al8 Co8 O32'
_cell_length_a 5.099
_cell_length_b 12.570
_cell_length_c 21.885
_cell_angle_alpha 90.00
_cell_angle_beta 90.00
_cell_angle_gamma 90.00
_symmetry_space_group_name_H-M 'F d d d'
_symmetry_Int_Tables_number 70
loop_
_symmetry_equiv_pos_as_xyz
'x,y,z'
'-x,-y,-z'
'-x+1/4,-y+1/4,z'
'x+1/4,y+1/4,-z'
'x,-y+1/4,-z+1/4'
'-x,y+1/4,z+1/4'
'-x+1/4,y,-z+1/4'
'x+1/4,-y,z+1/4'
'x,y+1/2,z+1/2'
'-x,-y+1/2,-z+1/2'
'-x+1/4,-y+3/4,z+1/2'
'x+1/4,y+3/4,-z+1/2'
'x,-y+3/4,-z+3/4'
'-x,y+3/4,z+3/4'
'-x+1/4,y+1/2,-z+3/4'
'x+1/4,-y+1/2,z+3/4'
'x+1/2,y,z+1/2'
'-x+1/2,-y,-z+1/2'
'-x+3/4,-y+1/4,z+1/2'
'x+3/4,y+1/4,-z+1/2'
'x+1/2,-y+1/4,-z+3/4'
'-x+1/2,y+1/4,z+3/4'
'-x+3/4,y,-z+3/4'
'x+3/4,-y,z+3/4'
'x+1/2,y+1/2,z'
'-x+1/2,-y+1/2,-z'
'-x+3/4,-y+3/4,z'
'x+3/4,y+3/4,-z'
'x+1/2,-y+3/4,-z+1/4'
'-x+1/2,y+3/4,z+1/4'
'-x+3/4,y+1/2,-z+1/4'
'x+3/4,-y+1/2,z+1/4'
loop_
_atom_site_label
_atom_site_type_symbol
_atom_site_fract_x
_atom_site_fract_y
_atom_site_fract_z
Cs1 Cs 0.125 0.125 0.299
Al1 Al 0.125 0.125 0.125
Co1 Co 0.125 0.125 0.625
O1 O 0.109 0.298 0.417
```